The following is a GGA+U calculation of a relaxed structure of Li6Ni2PC4O16, from Alexandria via LeMat-Bulk.

Cell and atoms, written as CIF:
```
data_Li6Ni2PC4O16
_chemical_formula_sum 'Li12 Ni4 P2 C8 O32'
_cell_length_a 9.363
_cell_length_b 9.363
_cell_length_c 9.363
_cell_angle_alpha 60.00
_cell_angle_beta 60.00
_cell_angle_gamma 60.00
_space_group_name_H-M_alt 'P 1'
_space_group_IT_number 1
loop_
_space_group_symop_operation_xyz
'x,y,z'
loop_
_atom_site_label
_atom_site_type_symbol
_atom_site_fract_x
_atom_site_fract_y
_atom_site_fract_z
C1 C 0.457 0.848 0.848
C2 C 0.848 0.848 0.848
C3 C 0.793 0.402 0.402
C4 C 0.848 0.457 0.848
C5 C 0.402 0.402 0.402
C6 C 0.848 0.848 0.457
C7 C 0.402 0.402 0.793
C8 C 0.402 0.793 0.402
Li1 Li 0.466 0.466 0.034
Li2 Li 0.216 0.216 0.784
Li3 Li 0.034 0.466 0.034
Li4 Li 0.034 0.034 0.466
Li5 Li 0.216 0.784 0.216
Li6 Li 0.034 0.466 0.466
Li7 Li 0.466 0.034 0.466
Li8 Li 0.784 0.216 0.784
Li9 Li 0.466 0.034 0.034
Li10 Li 0.216 0.784 0.784
Li11 Li 0.784 0.216 0.216
Li12 Li 0.784 0.784 0.216
O1 O 0.412 0.535 0.794
O2 O 0.456 0.715 0.991
O3 O 0.838 0.991 0.715
O4 O 0.067 0.067 0.067
O5 O 0.535 0.794 0.412
O6 O 0.535 0.259 0.794
O7 O 0.259 0.412 0.794
O8 O 0.715 0.456 0.838
O9 O 0.183 0.183 0.452
O10 O 0.452 0.183 0.183
O11 O 0.412 0.794 0.259
O12 O 0.715 0.838 0.991
O13 O 0.838 0.456 0.991
O14 O 0.183 0.452 0.183
O15 O 0.838 0.715 0.456
O16 O 0.794 0.259 0.412
O17 O 0.794 0.535 0.259
O18 O 0.259 0.535 0.412
O19 O 0.991 0.715 0.838
O20 O 0.412 0.259 0.535
O21 O 0.715 0.991 0.456
O22 O 0.535 0.412 0.259
O23 O 0.183 0.183 0.183
O24 O 0.456 0.991 0.838
O25 O 0.991 0.456 0.715
O26 O 0.991 0.838 0.456
O27 O 0.456 0.838 0.715
O28 O 0.259 0.794 0.535
O29 O 0.798 0.067 0.067
O30 O 0.067 0.798 0.067
O31 O 0.794 0.412 0.535
O32 O 0.067 0.067 0.798
Ni1 Ni 0.625 0.125 0.625
Ni2 Ni 0.625 0.625 0.625
Ni3 Ni 0.625 0.625 0.125
Ni4 Ni 0.125 0.625 0.625
P1 P 0.000 0.000 0.000
P2 P 0.250 0.250 0.250
```

Values from the calculation:
- total magnetic moment (μB per formula unit) = 4.8
- total energy (eV/cell) = -374.25

=====

The following is a GGA+U calculation of a relaxed structure of Li6Ni2C4SO16, from Alexandria via LeMat-Bulk.

Cell and atoms, written as CIF:
```
data_Li6Ni2C4SO16
_chemical_formula_sum 'Li12 Ni4 C8 S2 O32'
_cell_length_a 9.335
_cell_length_b 9.335
_cell_length_c 9.335
_cell_angle_alpha 60.00
_cell_angle_beta 60.00
_cell_angle_gamma 60.00
_space_group_name_H-M_alt 'P 1'
_space_group_IT_number 1
loop_
_space_group_symop_operation_xyz
'x,y,z'
loop_
_atom_site_label
_atom_site_type_symbol
_atom_site_fract_x
_atom_site_fract_y
_atom_site_fract_z
Ni1 Ni 0.125 0.625 0.625
Ni2 Ni 0.625 0.125 0.625
Ni3 Ni 0.625 0.625 0.125
Ni4 Ni 0.625 0.625 0.625
Li1 Li 0.783 0.783 0.217
Li2 Li 0.783 0.217 0.783
Li3 Li 0.033 0.467 0.033
Li4 Li 0.217 0.783 0.217
Li5 Li 0.783 0.217 0.217
Li6 Li 0.217 0.783 0.783
Li7 Li 0.217 0.217 0.783
Li8 Li 0.467 0.033 0.033
Li9 Li 0.033 0.033 0.467
Li10 Li 0.467 0.467 0.033
Li11 Li 0.467 0.033 0.467
Li12 Li 0.033 0.467 0.467
O1 O 0.535 0.258 0.796
O2 O 0.446 0.185 0.185
O3 O 0.839 0.454 0.992
O4 O 0.065 0.804 0.065
O5 O 0.535 0.411 0.258
O6 O 0.992 0.839 0.454
O7 O 0.804 0.065 0.065
O8 O 0.715 0.992 0.454
O9 O 0.796 0.258 0.411
O10 O 0.065 0.065 0.065
O11 O 0.185 0.185 0.185
O12 O 0.454 0.715 0.992
O13 O 0.992 0.715 0.839
O14 O 0.258 0.796 0.535
O15 O 0.411 0.258 0.535
O16 O 0.839 0.992 0.715
O17 O 0.796 0.411 0.535
O18 O 0.454 0.839 0.715
O19 O 0.535 0.796 0.411
O20 O 0.411 0.535 0.796
O21 O 0.839 0.715 0.454
O22 O 0.715 0.839 0.992
O23 O 0.796 0.535 0.258
O24 O 0.454 0.992 0.839
O25 O 0.715 0.454 0.839
O26 O 0.185 0.446 0.185
O27 O 0.065 0.065 0.804
O28 O 0.411 0.796 0.258
O29 O 0.258 0.535 0.411
O30 O 0.185 0.185 0.446
O31 O 0.992 0.454 0.715
O32 O 0.258 0.411 0.796
C1 C 0.402 0.794 0.402
C2 C 0.848 0.848 0.848
C3 C 0.402 0.402 0.402
C4 C 0.794 0.402 0.402
C5 C 0.848 0.848 0.456
C6 C 0.456 0.848 0.848
C7 C 0.848 0.456 0.848
C8 C 0.402 0.402 0.794
S1 S 0.000 0.000 0.000
S2 S 0.250 0.250 0.250
```

Values from the calculation:
- total magnetic moment (μB per formula unit) = 3.9
- total energy (eV/cell) = -370.24

=====

The following is a GGA+U calculation of a relaxed structure of Li2NiCSO7, from Alexandria via LeMat-Bulk.

Cell and atoms, written as CIF:
```
data_Li2NiCSO7
_chemical_formula_sum 'Li4 Ni2 C2 S2 O14'
_cell_length_a 4.980
_cell_length_b 6.407
_cell_length_c 8.705
_cell_angle_alpha 90.00
_cell_angle_beta 95.06
_cell_angle_gamma 90.00
_space_group_name_H-M_alt 'P 1'
_space_group_IT_number 1
loop_
_space_group_symop_operation_xyz
'x,y,z'
loop_
_atom_site_label
_atom_site_type_symbol
_atom_site_fract_x
_atom_site_fract_y
_atom_site_fract_z
O1 O 0.841 0.250 0.929
O2 O 0.563 0.750 0.937
O3 O 0.298 0.250 0.424
O4 O 0.702 0.750 0.576
O5 O 0.163 0.565 0.824
O6 O 0.437 0.250 0.063
O7 O 0.163 0.935 0.824
O8 O 0.965 0.750 0.376
O9 O 0.159 0.750 0.071
O10 O 0.521 0.750 0.327
O11 O 0.837 0.435 0.176
O12 O 0.837 0.065 0.176
O13 O 0.479 0.250 0.673
O14 O 0.035 0.250 0.624
S1 S 0.738 0.250 0.085
S2 S 0.262 0.750 0.915
Li1 Li 0.784 0.017 0.692
Li2 Li 0.216 0.517 0.308
Li3 Li 0.784 0.483 0.692
Li4 Li 0.216 0.983 0.308
Ni1 Ni 0.222 0.250 0.851
Ni2 Ni 0.778 0.750 0.149
C1 C 0.271 0.250 0.568
C2 C 0.729 0.750 0.432
```

Values from the calculation:
- total magnetic moment (μB per formula unit) = 2.0
- total energy (eV/cell) = -147.39